# B2C (PBE, relaxed)
# - uncorrected energy (eV per atom) = -7.0134
# - V (Å³ per cell) = 84.77
# - polymorph energy (0 for the lowest one) (eV per atom) = 0.3276
# - energy of formation from the pure elements (eV per atom) = 0.513
data_B2C
_cell_length_a 4.566
_cell_length_b 2.518
_cell_length_c 7.376
_cell_angle_alpha 90.00
_cell_angle_beta 91.29
_cell_angle_gamma 90.00
_symmetry_space_group_name_H-M 'P 1 m 1'
_symmetry_Int_Tables_number 6
loop_
_symmetry_equiv_pos_as_xyz
'x,y,z'
'x,-y,z'
loop_
_atom_site_label
_atom_site_fract_x
_atom_site_fract_y
_atom_site_fract_z
B1 0.000 0.000 0.000
B2 0.053 0.000 0.227
B3 0.190 0.500 0.869
B4 0.392 0.000 0.375
B5 0.513 0.500 0.225
B6 0.599 0.500 0.004
B7 0.687 0.000 0.678
B8 0.860 0.500 0.370
C1 0.204 0.500 0.656
C2 0.363 0.000 0.585
C3 0.671 0.000 0.892
C4 0.887 0.500 0.584